[1]
This record from Alexandria describes a relaxed structure of RbNa3Au. The functional is PBE-GGA.

raw total energy: -0.132 Ry per atom
calculated formation energy: -0.154 eV per atom
relative energy among the computed polymorphs: 0 meV/atom

Cell lengths 4.8334, 8.7886, 9.1898 Å; angles 74.22, 89.99, 89.99 degrees
Last column: nearest neighbours and their distance in Å.
Fractional coordinates of all 10 atoms:
Au 0.3814 0.8165 0.6594  7 Na 3.03-3.15
Na 0.3804 0.4581 0.7603  1 Au 3.03
Au 0.8812 0.8583 0.1468  7 Na 3.04-3.15
Na 0.3809 0.9650 0.3062  3 Au 3.10-3.15, 3 Na 3.43-3.44
Na 0.3808 0.9630 0.9338  3 Au 3.09-3.13, 3 Na 3.42-3.43
Na 0.8814 0.7104 0.4995  3 Au 3.10-3.15, 3 Na 3.44
Na 0.8801 0.2171 0.0443  1 Au 3.04
Rb 0.3815 0.5366 0.2278  2 Au 3.64, 6 Na 3.98-4.06
Rb 0.8814 0.1377 0.5791  2 Au 3.64, 6 Na 3.98-4.06
Na 0.8808 0.7111 0.8731  3 Au 3.09-3.13, 3 Na 3.42-3.44

***

[2]
This record from Alexandria describes a relaxed structure of Rb4NaAu. The functional is PBE-GGA.

raw total energy: -0.110 Ry per atom
calculated formation energy: -0.082 eV per atom
relative energy among the computed polymorphs: 0 meV/atom

Cell lengths 8.0299, 11.4328, 10.1314 Å; angles 115.05, 101.29, 110.82 degrees
Last column: nearest neighbours and their distance in Å.
Fractional coordinates of all 12 atoms:
Rb 0.0647 0.1958 0.8457  2 Au 3.76-3.78, 1 Na 4.17
Au 0.7488 0.9988 0.9975  8 Rb 3.57-3.78
Rb 0.6161 0.0600 0.3274  2 Au 3.57-3.58
Rb 0.9353 0.8042 0.1543  2 Au 3.76-3.78, 1 Na 4.17
Na 0.3756 0.6256 0.2512  6 Rb 4.17-4.28
Rb 0.3839 0.9400 0.6726  2 Au 3.57-3.58
Rb 0.2114 0.2674 0.3274  2 Au 3.57-3.58
Rb 0.7190 0.3501 0.1543  2 Au 3.76-3.78, 1 Na 4.17
Na 0.6244 0.3744 0.7488  6 Rb 4.17-4.28
Au 0.2512 0.0012 0.0025  8 Rb 3.57-3.78
Rb 0.7886 0.7326 0.6726  2 Au 3.57-3.58
Rb 0.2810 0.6499 0.8457  2 Au 3.76-3.78, 1 Na 4.17